# 1
Tl2InP | meta-GGA SCAN | single point on PBEsol structure

```
Tl2InP
1.0
-2.187 -2.455 2.079
4.168 -2.180 -1.829
1.384 3.116 5.135
Tl P In
2 1 1
direct
0.247 0.494 0.716
0.037 0.073 0.026
0.752 0.504 0.330
0.465 0.929 0.428
```

Summary:
Spin magnetization in μB/f.u.: 0.000
Energy relative to the elements in meV/atom: 135
Offset from the most stable computed form in eV per atom: 0.000
Crystal system: monoclinic
DOS at the Fermi energy in states/eV/f.u.: 1.231

# 2
ZrIrW2 | meta-GGA SCAN | single point on PBEsol structure

```
ZrIrW2
1.0
2.797 0.000 0.000
1.398 2.422 0.000
1.398 0.807 9.761
Zr W Ir
1 2 1
direct
0.500 0.500 0.500
0.742 0.742 0.773
0.258 0.258 0.227
0.000 0.000 0.000
```

Summary:
Spin magnetization in μB/f.u.: 0.000
Energy relative to the elements in meV/atom: 245
Offset from the most stable computed form in eV per atom: 0.375
Crystal system: trigonal
DOS at the Fermi energy in states/eV/f.u.: 3.846

# 3
GdAl2Si2 | meta-GGA SCAN | single point on PBEsol structure

```
GdAl2Si2
1.0
4.176 0.000 0.000
-2.088 3.616 0.000
0.000 0.000 6.552
Gd Al Si
1 2 2
direct
0.000 0.000 0.000
0.667 0.333 0.356
0.333 0.667 0.644
0.333 0.667 0.258
0.667 0.333 0.742
```

Summary:
Spin magnetization in μB/f.u.: 7.342
Raw formation energy in eV per formula unit: -1.9
Crystal system: trigonal
DOS at the Fermi energy in states/eV/f.u.: 1.575

# 4
Li2MnInRh | meta-GGA SCAN | single point on PBEsol structure

```
Li2MnInRh
1.0
-1.213 4.043 -0.563
-3.594 -0.779 2.146
2.235 1.255 4.198
Rh In Mn Li
1 1 1 2
direct
0.500 0.500 0.500
0.000 0.000 0.500
0.000 0.000 0.000
0.000 0.500 0.000
0.500 0.000 0.000
```

Summary:
Spin magnetization in μB/f.u.: 4.459
Energy relative to the elements in meV/atom: 816
Crystal system: tetragonal
DOS at the Fermi energy in states/eV/f.u.: 3.593

# 5
CoTe3Pd | meta-GGA SCAN | single point on PBEsol structure

```
CoTe3Pd
1.0
5.169 0.000 0.000
0.000 5.169 0.000
0.000 0.000 5.169
Pd Te Co
1 3 1
direct
0.000 0.000 0.000
0.500 0.000 0.000
0.000 0.000 0.500
0.000 0.500 0.000
0.500 0.500 0.500
```

Summary:
Spin magnetization in μB/f.u.: 2.987
Raw formation energy in eV per formula unit: 4.0
Crystal system: cubic
DOS at the Fermi energy in states/eV/f.u.: 4.586

# 6
CrInCo2 | meta-GGA SCAN | single point on PBEsol structure

```
CrInCo2
1.0
2.702 0.000 0.000
-1.351 4.057 0.068
0.000 -0.937 4.720
Cr Co In
1 2 1
direct
0.000 0.000 0.500
0.741 0.483 0.701
0.259 0.517 0.299
0.500 0.000 0.000
```

Summary:
Spin magnetization in μB/f.u.: 4.276
Energy relative to the elements in meV/atom: 393
Crystal system: monoclinic
DOS at the Fermi energy in states/eV/f.u.: 3.246